[1]
Nd2ZrTl3S6 after structural relaxation. Source: the Alexandria database, functional GGA-PBE.

Lattice parameters (Å, degrees): 6.9559 6.9559 7.9225 98.45 98.45 119.95
With the nearest neighbours (Å) after each atom.
Atoms (fractional coordinates):
Nd 0.3340 0.6660 0.0000  6 S 2.85-2.87
Nd 0.6660 0.3340 0.0000  6 S 2.85-2.87
Zr 0.0000 0.0000 0.0000  6 S 2.63-2.66
Tl 0.1715 0.8285 0.5000  6 S 3.18-3.33
Tl 0.8285 0.1715 0.5000  6 S 3.18-3.33
Tl 0.5000 0.5000 0.5000  6 S 3.18-3.33
S 0.9330 0.6240 0.7990  1 Zr 2.63, 2 Nd 2.85
S 0.7606 0.7606 0.2077  1 Zr 2.66, 2 Nd 2.87
S 0.0670 0.3760 0.2010  1 Zr 2.63, 2 Nd 2.85
S 0.6240 0.9330 0.7990  1 Zr 2.63, 2 Nd 2.85
S 0.2394 0.2394 0.7923  1 Zr 2.66, 2 Nd 2.87
S 0.3760 0.0670 0.2010  1 Zr 2.63, 2 Nd 2.85

Calculated values
Space group: No. 12
E_tot in eV/f.u.: -65.58
Mass density in g cm⁻³: 6.20
V in Å³/cell: 317.5
ΔE_f (raw) in eV/atom: -1.303


[2]
UFe2C after structural relaxation. Source: the Alexandria database, functional GGA-PBE.

Lattice parameters (Å, degrees): 2.8526 2.8526 7.3515 78.81 78.81 60.00
With the nearest neighbours (Å) after each atom.
Atoms (fractional coordinates):
C 0.0000 0.0000 0.0000  6 Fe 1.93
U 0.5000 0.5000 0.5000  6 U 2.85, 6 Fe 3.05
Fe 0.7139 0.7139 0.8583  3 C 1.93
Fe 0.2861 0.2861 0.1417  3 C 1.93

Calculated values
Space group: No. 166
E_tot in eV/f.u.: -36.51
Mass density in g cm⁻³: 11.90
Energy relative to the elements in eV per atom: 0.231
V in Å³/cell: 50.5


[3]
ZrNiIrRh after structural relaxation. Source: the Alexandria database, functional GGA-PBE.

Lattice parameters (Å, degrees): 3.8493 3.9443 3.9602 90.00 90.00 90.00
With the nearest neighbours (Å) after each atom.
Atoms (fractional coordinates):
Zr 0.0000 0.5000 0.5000  4 Rh 2.76, 4 Ir 2.76, 4 Ni 2.79
Ni 0.0000 0.0000 0.0000  4 Ir 2.76, 4 Rh 2.76, 4 Zr 2.79
Ir 0.5000 0.5000 0.0000  4 Ni 2.76, 4 Zr 2.76, 4 Rh 2.79
Rh 0.5000 0.0000 0.5000  4 Zr 2.76, 4 Ni 2.76, 4 Ir 2.79

Calculated values
Space group: No. 47
E_tot in eV/f.u.: -32.94
Mass density in g cm⁻³: 12.29
Energy relative to the elements in eV per atom: -0.599
V in Å³/cell: 60.1


[4]
HoBe17Ir after structural relaxation. Source: the Alexandria database, functional GGA-PBE.

Lattice parameters (Å, degrees): 5.6348 5.6348 5.6348 83.39 83.39 83.39
With the nearest neighbours (Å) after each atom.
Atoms (fractional coordinates):
Ho 0.6561 0.6561 0.6561  19 Be 2.71-2.86
Be 0.2893 0.0093 0.7029  8 Be 2.10-2.30
Be 0.7029 0.2893 0.0093  8 Be 2.10-2.30
Be 0.0093 0.7029 0.2893  8 Be 2.10-2.30
Be 0.2893 0.7029 0.0093  8 Be 2.10-2.30
Be 0.0093 0.2893 0.7029  8 Be 2.10-2.30
Be 0.7029 0.0093 0.2893  8 Be 2.10-2.30
Be 0.3413 0.8716 0.3413  9 Be 2.16-2.26
Be 0.3413 0.3413 0.8716  9 Be 2.16-2.26
Be 0.8716 0.3413 0.3413  9 Be 2.16-2.26
Be 0.6470 0.1657 0.6470  9 Be 2.17-2.43
Be 0.6470 0.6470 0.1657  9 Be 2.17-2.43
Be 0.1657 0.6470 0.6470  9 Be 2.17-2.43
Be 0.9917 0.5091 0.9917  10 Be 2.12-2.34
Be 0.9917 0.9917 0.5091  10 Be 2.12-2.34
Be 0.5091 0.9917 0.9917  10 Be 2.12-2.34
Be 0.9067 0.9067 0.9067  4 Be 2.11-2.24
Be 0.1012 0.1012 0.1012  7 Be 2.11-2.34
Ir 0.3267 0.3267 0.3267  13 Be 2.44-2.71

Calculated values
Space group: No. 160
E_tot in eV/f.u.: -79.18
Mass density in g cm⁻³: 4.83
Energy relative to the elements in eV per atom: -0.126
V in Å³/cell: 175.6


[5]
AcPuAu2 after structural relaxation. Source: the Alexandria database, functional GGA-PBE.

Lattice parameters (Å, degrees): 4.3436 4.3436 7.9051 74.05 74.05 60.00
With the nearest neighbours (Å) after each atom.
Atoms (fractional coordinates):
Ac 0.4976 0.4976 0.5073  6 Au 3.18-3.25
Pu 0.6694 0.6694 0.9919  6 Au 3.01-3.08
Au 0.0769 0.0769 0.7692  3 Pu 3.01, 3 Ac 3.18
Au 0.2562 0.2562 0.2315  3 Pu 3.08, 3 Ac 3.25

Calculated values
Space group: No. 160
E_tot in eV/f.u.: -26.84
Mass density in g cm⁻³: 11.73
Energy relative to the elements in eV per atom: -0.460
V in Å³/cell: 122.5
Excess energy over the best structure of this formula in the dataset in eV/atom: 0.105